Computed, not measured: a geometry-optimized La2DyPa structure at the GGA-PBE level of DFT.

The value obtained for the total energy is -5.69 eV per atom. The value obtained for the energy relative to the lowest polymorph listed for this composition is 0.60 eV per formula unit. The magnetization comes out at 0.00 μB/f.u. Its formation energy is 0.30 eV per atom.

The structure belongs to space group R-3m (No. 166, hexagonal axes); the cell edges are 3.3755, 3.3755 and 37.7148 Å and the angles 90.00°, 90.00° and 120.00°. The asymmetric unit holds La at (0.0000, 0.0000, 0.0839), Dy at (0.0000, 0.0000, 0.5000) and Pa at (0.0000, 0.0000, 0.0000).